Record 1
# AgHgBi2 | the Alexandria database | GGA-PBE | relaxed
# Calculated density   11.4 g/cm³
# Energy relative to the elements   15.85 kJ/mol of atoms
data_AgHgBi2
_chemical_formula_sum 'Ag1 Hg1 Bi2'
_symmetry_space_group_name_H-M 'P 4/m m m'
_symmetry_Int_Tables_number 123
_symmetry_space_group_name_Hall '-P 4 2'
_cell_length_a 5.6253
_cell_length_b 5.6253
_cell_length_c 3.3508
_cell_angle_alpha 90.00
_cell_angle_beta 90.00
_cell_angle_gamma 90.00
loop_
_atom_site_label
_atom_site_fract_x
_atom_site_fract_y
_atom_site_fract_z
Ag1 0.0000 0.0000 0.0000
Hg1 0.5000 0.5000 0.0000
Bi1 0.0000 0.5000 0.5000

***

Record 2
# AgHg2Bi2 | the Alexandria database | GGA-PBE | relaxed
# Calculated density   10.7 g/cm³
# Energy relative to the elements   14.81 kJ/mol of atoms
data_AgHg2Bi2
_chemical_formula_sum 'Ag2 Hg4 Bi4'
_symmetry_space_group_name_H-M 'P 4/m b m'
_symmetry_Int_Tables_number 127
_symmetry_space_group_name_Hall '-P 4 2ab'
_cell_length_a 7.7129
_cell_length_b 7.7129
_cell_length_c 4.8326
_cell_angle_alpha 90.00
_cell_angle_beta 90.00
_cell_angle_gamma 90.00
loop_
_atom_site_label
_atom_site_fract_x
_atom_site_fract_y
_atom_site_fract_z
Ag1 0.0000 0.0000 0.0000
Hg1 0.1605 0.3395 0.5000
Bi1 0.1499 0.6499 0.0000

***

Record 3
# Ag2Hg2Bi | the Alexandria database | GGA-PBE | relaxed
# Calculated density   11.9 g/cm³
# Energy relative to the elements   12.43 kJ/mol of atoms
data_Ag2Hg2Bi
_chemical_formula_sum 'Ag4 Hg4 Bi2'
_symmetry_space_group_name_H-M 'P 4/m b m'
_symmetry_Int_Tables_number 127
_symmetry_space_group_name_Hall '-P 4 2ab'
_cell_length_a 8.4794
_cell_length_b 8.4794
_cell_length_c 3.2052
_cell_angle_alpha 90.00
_cell_angle_beta 90.00
_cell_angle_gamma 90.00
loop_
_atom_site_label
_atom_site_fract_x
_atom_site_fract_y
_atom_site_fract_z
Ag1 0.1679 0.3321 0.0000
Hg1 0.1293 0.6293 0.5000
Bi1 0.0000 0.0000 0.5000

***

Record 4
# Ag4HgBi | the Alexandria database | GGA-PBE | relaxed
# Calculated density   10.9 g/cm³
# Energy relative to the elements   10.65 kJ/mol of atoms
data_Ag4HgBi
_chemical_formula_sum 'Ag16 Hg4 Bi4'
_symmetry_space_group_name_H-M 'F -4 3 m'
_symmetry_Int_Tables_number 216
_symmetry_space_group_name_Hall 'F -4 2 3'
_cell_length_a 7.9969
_cell_length_b 7.9969
_cell_length_c 7.9969
_cell_angle_alpha 90.00
_cell_angle_beta 90.00
_cell_angle_gamma 90.00
loop_
_atom_site_label
_atom_site_fract_x
_atom_site_fract_y
_atom_site_fract_z
Ag1 0.1254 0.1254 0.1254
Hg1 0.0000 0.0000 0.5000
Bi1 0.2500 0.2500 0.7500

***

Record 5
# Ag3HgBi | the Alexandria database | GGA-PBE | relaxed
# Calculated density   10.9 g/cm³
# Energy relative to the elements   9.08 kJ/mol of atoms
data_Ag3HgBi
_chemical_formula_sum 'Ag12 Hg4 Bi4'
_symmetry_space_group_name_H-M 'P 1 21/c 1'
_symmetry_Int_Tables_number 14
_cell_length_a 7.8335
_cell_length_b 7.9524
_cell_length_c 8.5685
_cell_angle_alpha 90.00
_cell_angle_beta 123.11
_cell_angle_gamma 90.00
loop_
_symmetry_equiv_pos_as_xyz
'x,y,z'
'-x,-y,-z'
'-x,y+1/2,-z+1/2'
'x,-y+1/2,z+1/2'
loop_
_atom_site_label
_atom_site_fract_x
_atom_site_fract_y
_atom_site_fract_z
Ag1 0.0844 0.1692 0.0064
Ag2 0.1472 0.6136 0.3230
Ag3 0.3457 0.6055 0.7293
Hg1 0.3892 0.1955 0.9095
Bi1 0.2305 0.5443 0.0172

***

Record 6
# Ag5Hg3Bi12 | the Alexandria database | GGA-PBE | relaxed
# Calculated density   9.3 g/cm³
# Energy relative to the elements   23.75 kJ/mol of atoms
data_Ag5Hg3Bi12
_chemical_formula_sum 'Ag40 Hg24 Bi96'
_symmetry_space_group_name_H-M 'I a -3 d'
_symmetry_Int_Tables_number 230
_symmetry_space_group_name_Hall '-I 4bd 2c 3'
_cell_length_a 17.3213
_cell_length_b 17.3213
_cell_length_c 17.3213
_cell_angle_alpha 90.00
_cell_angle_beta 90.00
_cell_angle_gamma 90.00
loop_
_atom_site_label
_atom_site_fract_x
_atom_site_fract_y
_atom_site_fract_z
Ag1 0.0000 0.0000 0.0000
Ag2 0.0000 0.2500 0.3750
Hg1 0.0000 0.2500 0.1250
Bi1 0.0310 0.0822 0.6444

***

Record 7
# Ag2HgBi2 | the Alexandria database | GGA-PBE | relaxed
# Calculated density   9.7 g/cm³
# Energy relative to the elements   23.83 kJ/mol of atoms
data_Ag2HgBi2
_chemical_formula_sum 'Ag4 Hg2 Bi4'
_symmetry_space_group_name_H-M 'I 4/m m m'
_symmetry_Int_Tables_number 139
_symmetry_space_group_name_Hall '-I 4 2'
_cell_length_a 4.6198
_cell_length_b 4.6198
_cell_length_c 13.3552
_cell_angle_alpha 90.00
_cell_angle_beta 90.00
_cell_angle_gamma 90.00
loop_
_atom_site_label
_atom_site_fract_x
_atom_site_fract_y
_atom_site_fract_z
Ag1 0.0000 0.0000 0.1022
Hg1 0.0000 0.0000 0.5000
Bi1 0.0000 0.5000 0.2500

***

Record 8
# Ag2HgBi2 | the Alexandria database | GGA-PBE | relaxed
# Calculated density   11.1 g/cm³
# Energy relative to the elements   12.12 kJ/mol of atoms
data_Ag2HgBi2
_chemical_formula_sum 'Ag4 Hg2 Bi4'
_symmetry_space_group_name_H-M 'P 4/m b m'
_symmetry_Int_Tables_number 127
_symmetry_space_group_name_Hall '-P 4 2ab'
_cell_length_a 7.4946
_cell_length_b 7.4946
_cell_length_c 4.4629
_cell_angle_alpha 90.00
_cell_angle_beta 90.00
_cell_angle_gamma 90.00
loop_
_atom_site_label
_atom_site_fract_x
_atom_site_fract_y
_atom_site_fract_z
Ag1 0.1335 0.3665 0.0000
Hg1 0.0000 0.0000 0.0000
Bi1 0.1656 0.6656 0.5000

***

Record 9
# AgHg2Bi2 | the Alexandria database | GGA-PBE | relaxed
# Calculated density   10.4 g/cm³
# Energy relative to the elements   18.73 kJ/mol of atoms
data_AgHg2Bi2
_chemical_formula_sum 'Ag2 Hg4 Bi4'
_symmetry_space_group_name_H-M 'I 4/m m m'
_symmetry_Int_Tables_number 139
_symmetry_space_group_name_Hall '-I 4 2'
_cell_length_a 3.9941
_cell_length_b 3.9941
_cell_length_c 18.5642
_cell_angle_alpha 90.00
_cell_angle_beta 90.00
_cell_angle_gamma 90.00
loop_
_atom_site_label
_atom_site_fract_x
_atom_site_fract_y
_atom_site_fract_z
Ag1 0.0000 0.0000 0.0000
Hg1 0.0000 0.5000 0.2500
Bi1 0.0000 0.0000 0.4173

***

Record 10
# AgHgBi | the Alexandria database | GGA-PBE | relaxed
# Calculated density   10.7 g/cm³
# Energy relative to the elements   9.52 kJ/mol of atoms
data_AgHgBi
_chemical_formula_sum 'Ag2 Hg2 Bi2'
_symmetry_space_group_name_H-M 'P 1 2/m 1'
_symmetry_Int_Tables_number 10
_cell_length_a 7.0925
_cell_length_b 3.3056
_cell_length_c 7.2549
_cell_angle_alpha 90.00
_cell_angle_beta 109.49
_cell_angle_gamma 90.00
loop_
_symmetry_equiv_pos_as_xyz
'x,y,z'
'-x,-y,-z'
'-x,y,-z'
'x,-y,z'
loop_
_atom_site_label
_atom_site_fract_x
_atom_site_fract_y
_atom_site_fract_z
Ag1 0.2052 0.0000 0.4966
Hg1 0.1319 0.0000 0.8613
Bi1 0.4156 0.5000 0.2607

***

Record 11
# Ag3Hg3Bi | the Alexandria database | GGA-PBE | relaxed
# Calculated density   8.3 g/cm³
# Energy relative to the elements   56.55 kJ/mol of atoms
data_Ag3Hg3Bi
_chemical_formula_sum 'Ag6 Hg6 Bi2'
_symmetry_space_group_name_H-M 'P m -3 n'
_symmetry_Int_Tables_number 223
_symmetry_space_group_name_Hall '-P 4n 2 3'
_cell_length_a 7.6765
_cell_length_b 7.6765
_cell_length_c 7.6765
_cell_angle_alpha 90.00
_cell_angle_beta 90.00
_cell_angle_gamma 90.00
loop_
_atom_site_label
_atom_site_fract_x
_atom_site_fract_y
_atom_site_fract_z
Ag1 0.0000 0.2500 0.5000
Hg1 0.0000 0.5000 0.2500
Bi1 0.0000 0.0000 0.0000

***

Record 12
# AgHgBi2 | the Alexandria database | GGA-PBE | relaxed
# Calculated density   10.3 g/cm³
# Energy relative to the elements   11.14 kJ/mol of atoms
data_AgHgBi2
_chemical_formula_sum 'Ag3 Hg3 Bi6'
_symmetry_space_group_name_H-M 'R 3 m'
_symmetry_Int_Tables_number 160
_symmetry_space_group_name_Hall 'R 3 -2"'
_cell_length_a 4.6692
_cell_length_b 4.6692
_cell_length_c 18.6268
_cell_angle_alpha 90.00
_cell_angle_beta 90.00
_cell_angle_gamma 120.00
loop_
_atom_site_label
_atom_site_fract_x
_atom_site_fract_y
_atom_site_fract_z
Ag1 0.0000 0.0000 0.0000
Hg1 0.0000 0.0000 0.8332
Bi1 0.0000 0.0000 0.4018
Bi2 0.0000 0.0000 0.6008

***

Record 13
# AgHgBi | the Alexandria database | GGA-PBE | relaxed
# Calculated density   11.6 g/cm³
# Energy relative to the elements   10.71 kJ/mol of atoms
data_AgHgBi
_chemical_formula_sum 'Ag2 Hg2 Bi2'
_symmetry_space_group_name_H-M 'I 4 m m'
_symmetry_Int_Tables_number 107
_symmetry_space_group_name_Hall 'I 4 -2'
_cell_length_a 3.3446
_cell_length_b 3.3446
_cell_length_c 13.2791
_cell_angle_alpha 90.00
_cell_angle_beta 90.00
_cell_angle_gamma 90.00
loop_
_atom_site_label
_atom_site_fract_x
_atom_site_fract_y
_atom_site_fract_z
Ag1 0.0000 0.0000 0.0000
Hg1 0.0000 0.0000 0.6450
Bi1 0.0000 0.0000 0.3388

***

Record 14
# AgHgBi2 | the Alexandria database | GGA-PBE | relaxed
# Calculated density   11.2 g/cm³
# Energy relative to the elements   6.78 kJ/mol of atoms
data_AgHgBi2
_chemical_formula_sum 'Ag1 Hg1 Bi2'
_symmetry_space_group_name_H-M 'P 4/m m m'
_symmetry_Int_Tables_number 123
_symmetry_space_group_name_Hall '-P 4 2'
_cell_length_a 3.3581
_cell_length_b 3.3581
_cell_length_c 9.5747
_cell_angle_alpha 90.00
_cell_angle_beta 90.00
_cell_angle_gamma 90.00
loop_
_atom_site_label
_atom_site_fract_x
_atom_site_fract_y
_atom_site_fract_z
Ag1 0.0000 0.0000 0.0000
Hg1 0.0000 0.0000 0.5000
Bi1 0.5000 0.5000 0.2217

***

Record 15
# AgHgBi2 | the Alexandria database | GGA-PBE | relaxed
# Calculated density   10.5 g/cm³
# Energy relative to the elements   10.02 kJ/mol of atoms
data_AgHgBi2
_chemical_formula_sum 'Ag3 Hg3 Bi6'
_symmetry_space_group_name_H-M 'R -3 m'
_symmetry_Int_Tables_number 166
_symmetry_space_group_name_Hall '-R 3 2"'
_cell_length_a 3.4416
_cell_length_b 3.4416
_cell_length_c 33.5467
_cell_angle_alpha 90.00
_cell_angle_beta 90.00
_cell_angle_gamma 120.00
loop_
_atom_site_label
_atom_site_fract_x
_atom_site_fract_y
_atom_site_fract_z
Ag1 0.0000 0.0000 0.0000
Hg1 0.0000 0.0000 0.5000
Bi1 0.0000 0.0000 0.4048

***

Record 16
# AgHgBi2 | the Alexandria database | GGA-PBE | relaxed
# Calculated density   10.2 g/cm³
# Energy relative to the elements   13.81 kJ/mol of atoms
data_AgHgBi2
_chemical_formula_sum 'Ag4 Hg4 Bi8'
_symmetry_space_group_name_H-M 'I -4 2 d'
_symmetry_Int_Tables_number 122
_symmetry_space_group_name_Hall 'I -4 2bw'
_cell_length_a 4.6729
_cell_length_b 4.6729
_cell_length_c 21.6011
_cell_angle_alpha 90.00
_cell_angle_beta 90.00
_cell_angle_gamma 90.00
loop_
_atom_site_label
_atom_site_fract_x
_atom_site_fract_y
_atom_site_fract_z
Ag1 0.0000 0.0000 0.0000
Hg1 0.0000 0.0000 0.5000
Bi1 0.2191 0.2500 0.1250

***

Record 17
# Ag2Hg2Bi | the Alexandria database | GGA-PBE | relaxed
# Calculated density   11.4 g/cm³
# Energy relative to the elements   15.38 kJ/mol of atoms
data_Ag2Hg2Bi
_chemical_formula_sum 'Ag4 Hg4 Bi2'
_symmetry_space_group_name_H-M 'I 4/m m m'
_symmetry_Int_Tables_number 139
_symmetry_space_group_name_Hall '-I 4 2'
_cell_length_a 4.0942
_cell_length_b 4.0942
_cell_length_c 14.3887
_cell_angle_alpha 90.00
_cell_angle_beta 90.00
_cell_angle_gamma 90.00
loop_
_atom_site_label
_atom_site_fract_x
_atom_site_fract_y
_atom_site_fract_z
Ag1 0.0000 0.0000 0.0967
Hg1 0.0000 0.5000 0.2500
Bi1 0.0000 0.0000 0.5000

***

Record 18
# Ag2Hg2Bi | the Alexandria database | GGA-PBE | relaxed
# Calculated density   11.3 g/cm³
# Energy relative to the elements   14.74 kJ/mol of atoms
data_Ag2Hg2Bi
_chemical_formula_sum 'Ag4 Hg4 Bi2'
_symmetry_space_group_name_H-M 'I 4/m m m'
_symmetry_Int_Tables_number 139
_symmetry_space_group_name_Hall '-I 4 2'
_cell_length_a 4.0467
_cell_length_b 4.0467
_cell_length_c 14.7658
_cell_angle_alpha 90.00
_cell_angle_beta 90.00
_cell_angle_gamma 90.00
loop_
_atom_site_label
_atom_site_fract_x
_atom_site_fract_y
_atom_site_fract_z
Ag1 0.0000 0.5000 0.2500
Hg1 0.0000 0.0000 0.1063
Bi1 0.0000 0.0000 0.5000

***

Record 19
# Ag2HgBi2 | the Alexandria database | GGA-PBE | relaxed
# Calculated density   10.5 g/cm³
# Energy relative to the elements   13.84 kJ/mol of atoms
data_Ag2HgBi2
_chemical_formula_sum 'Ag4 Hg2 Bi4'
_symmetry_space_group_name_H-M 'I 4/m m m'
_symmetry_Int_Tables_number 139
_symmetry_space_group_name_Hall '-I 4 2'
_cell_length_a 3.8827
_cell_length_b 3.8827
_cell_length_c 17.5096
_cell_angle_alpha 90.00
_cell_angle_beta 90.00
_cell_angle_gamma 90.00
loop_
_atom_site_label
_atom_site_fract_x
_atom_site_fract_y
_atom_site_fract_z
Ag1 0.0000 0.5000 0.2500
Hg1 0.0000 0.0000 0.0000
Bi1 0.0000 0.0000 0.3866